[1]
Li2SnS4 | PBE | relaxed

Properties
Its space group is Imma, No. 74. As for the crystal system: orthorhombic. The calculation puts the energy at -28.1 eV/f.u. The raw formation energy comes out at -0.538 eV per atom.

a = 7.564 Å, b = 7.564 Å, c = 7.564 Å
α = 136.55°, β = 110.81°, γ = 85.34°
Element x y z (fractional)
Li: 0.000 0.000 0.500
Li: 0.000 0.500 0.000
Li: 0.430 0.180 0.250
Li: 0.570 0.820 0.750
Sn: 0.000 0.500 0.500
Sn: 0.500 0.500 0.000
S: 0.234 0.739 0.495
S: 0.239 0.202 0.464
S: 0.239 0.775 0.036
S: 0.256 0.261 0.995
S: 0.744 0.739 0.005
S: 0.761 0.225 0.964
S: 0.761 0.798 0.536
S: 0.766 0.261 0.505

[2]
Li2SnS | PBE | relaxed

Properties
Its space group is I-42d, No. 122. As for the crystal system: tetragonal. The calculation puts the energy at -14.2 eV/f.u. The raw formation energy comes out at -0.560 eV per atom.

a = 5.978 Å, b = 5.978 Å, c = 5.978 Å
α = 103.76°, β = 103.76°, γ = 121.62°
Element x y z (fractional)
Li: 0.047 0.625 0.922
Li: 0.375 0.297 0.422
Li: 0.703 0.125 0.078
Li: 0.875 0.953 0.578
Sn: 0.250 0.750 0.500
Sn: 0.500 0.500 0.000
S: 0.000 0.000 0.000
S: 0.750 0.250 0.500

[3]
Li3Sn5S12 | PBE | relaxed

Properties
Its space group is Ia-3d, No. 230. As for the crystal system: cubic. The calculation puts the energy at -83.8 eV/f.u. The raw formation energy comes out at -0.428 eV per atom.

a = 13.507 Å, b = 13.507 Å, c = 13.507 Å
α = 109.47°, β = 109.47°, γ = 109.47°
Element x y z (fractional)
Li: 0.125 0.250 0.375
Li: 0.125 0.375 0.750
Li: 0.250 0.375 0.125
Li: 0.250 0.875 0.625
Li: 0.375 0.125 0.250
Li: 0.375 0.750 0.125
Li: 0.625 0.250 0.875
Li: 0.625 0.875 0.750
Li: 0.750 0.125 0.375
Li: 0.750 0.625 0.875
Li: 0.875 0.625 0.250
Li: 0.875 0.750 0.625
Sn: 0.000 0.000 0.000
Sn: 0.000 0.000 0.500
Sn: 0.000 0.500 0.000
Sn: 0.000 0.500 0.500
Sn: 0.125 0.750 0.875
Sn: 0.125 0.875 0.250
Sn: 0.250 0.125 0.875
Sn: 0.250 0.625 0.375
Sn: 0.375 0.250 0.625
Sn: 0.375 0.625 0.750
Sn: 0.500 0.000 0.000
Sn: 0.500 0.000 0.500
Sn: 0.500 0.500 0.000
Sn: 0.500 0.500 0.500
Sn: 0.625 0.375 0.250
Sn: 0.625 0.750 0.375
Sn: 0.750 0.375 0.625
Sn: 0.750 0.875 0.125
Sn: 0.875 0.125 0.750
Sn: 0.875 0.250 0.125
S: 0.041 0.215 0.126
S: 0.041 0.326 0.914
S: 0.086 0.626 0.411
S: 0.086 0.959 0.674
S: 0.089 0.715 0.674
S: 0.089 0.874 0.414
S: 0.126 0.041 0.215
S: 0.126 0.586 0.911
S: 0.174 0.215 0.589
S: 0.174 0.459 0.586
S: 0.215 0.126 0.041
S: 0.215 0.589 0.174
S: 0.285 0.326 0.911
S: 0.285 0.459 0.374
S: 0.326 0.911 0.285
S: 0.326 0.914 0.041
S: 0.374 0.285 0.459
S: 0.374 0.589 0.914
S: 0.411 0.086 0.626
S: 0.411 0.826 0.785
S: 0.414 0.089 0.874
S: 0.414 0.826 0.541
S: 0.459 0.374 0.285
S: 0.459 0.586 0.174
S: 0.541 0.414 0.826
S: 0.541 0.626 0.715
S: 0.586 0.174 0.459
S: 0.586 0.911 0.126
S: 0.589 0.174 0.215
S: 0.589 0.914 0.374
S: 0.626 0.411 0.086
S: 0.626 0.715 0.541
S: 0.674 0.086 0.959
S: 0.674 0.089 0.715
S: 0.715 0.541 0.626
S: 0.715 0.674 0.089
S: 0.785 0.411 0.826
S: 0.785 0.874 0.959
S: 0.826 0.541 0.414
S: 0.826 0.785 0.411
S: 0.874 0.414 0.089
S: 0.874 0.959 0.785
S: 0.911 0.126 0.586
S: 0.911 0.285 0.326
S: 0.914 0.041 0.326
S: 0.914 0.374 0.589
S: 0.959 0.674 0.086
S: 0.959 0.785 0.874

[4]
Li2SnS3 | PBE | relaxed

Properties
As for the excess energy over the best structure of this formula in the dataset: 0 meV/atom. Its space group is Cc, No. 9. As for the crystal system: monoclinic. The calculation puts the energy at -25.6 eV/f.u. The raw formation energy comes out at -0.900 eV per atom.

a = 6.978 Å, b = 6.978 Å, c = 6.828 Å
α = 98.77°, β = 98.77°, γ = 120.45°
Element x y z (fractional)
Li: 0.087 0.913 0.500
Li: 0.265 0.774 0.000
Li: 0.774 0.265 0.500
Li: 0.913 0.087 0.000
Sn: 0.443 0.621 0.523
Sn: 0.621 0.443 0.023
S: 0.140 0.632 0.629
S: 0.311 0.472 0.138
S: 0.472 0.311 0.638
S: 0.632 0.140 0.129
S: 0.809 0.974 0.625
S: 0.974 0.809 0.125

[5]
LiSn2S4 | PBE | relaxed

Properties
As for the excess energy over the best structure of this formula in the dataset: 42 meV/atom. Its space group is Cmcm, No. 63. As for the crystal system: orthorhombic. The calculation puts the energy at -30.2 eV/f.u. The raw formation energy comes out at -0.539 eV per atom.

a = 6.505 Å, b = 6.505 Å, c = 12.891 Å
α = 90.00°, β = 90.00°, γ = 146.13°
Element x y z (fractional)
Li: 0.078 0.922 0.750
Li: 0.922 0.078 0.250
Sn: 0.362 0.638 0.573
Sn: 0.362 0.638 0.927
Sn: 0.638 0.362 0.073
Sn: 0.638 0.362 0.427
S: 0.000 0.000 0.000
S: 0.000 0.000 0.500
S: 0.274 0.726 0.117
S: 0.274 0.726 0.383
S: 0.456 0.544 0.750
S: 0.544 0.456 0.250
S: 0.726 0.274 0.617
S: 0.726 0.274 0.883

[6]
LiSnS3 | PBE | relaxed

Properties
As for the excess energy over the best structure of this formula in the dataset: 0 meV/atom. Its space group is C2/c, No. 15. As for the crystal system: monoclinic. The calculation puts the energy at -21.0 eV/f.u. The raw formation energy comes out at -0.536 eV per atom.

a = 8.437 Å, b = 8.437 Å, c = 6.752 Å
α = 92.48°, β = 92.48°, γ = 91.28°
Element x y z (fractional)
Li: 0.051 0.949 0.750
Li: 0.395 0.605 0.250
Li: 0.605 0.395 0.750
Li: 0.949 0.051 0.250
Sn: 0.135 0.363 0.613
Sn: 0.363 0.135 0.113
Sn: 0.637 0.865 0.887
Sn: 0.865 0.637 0.387
S: 0.108 0.198 0.947
S: 0.133 0.546 0.327
S: 0.198 0.108 0.447
S: 0.345 0.513 0.836
S: 0.454 0.867 0.173
S: 0.487 0.655 0.664
S: 0.513 0.345 0.336
S: 0.546 0.133 0.827
S: 0.655 0.487 0.164
S: 0.802 0.892 0.553
S: 0.867 0.454 0.673
S: 0.892 0.802 0.053

[7]
LiSn2S3 | PBE | relaxed

Properties
As for the excess energy over the best structure of this formula in the dataset: 0 meV/atom. Its space group is Imm2, No. 44. As for the crystal system: orthorhombic. The calculation puts the energy at -26.1 eV/f.u. The raw formation energy comes out at -0.628 eV per atom.

a = 6.857 Å, b = 6.857 Å, c = 6.857 Å
α = 132.78°, β = 59.24°, γ = 146.34°
Element x y z (fractional)
Li: 0.000 0.000 0.000
Sn: 0.337 0.002 0.335
Sn: 0.666 0.002 0.665
S: 0.002 0.502 0.500
S: 0.337 0.502 0.834
S: 0.668 0.502 0.166

[8]
LiSn3S | PBE | relaxed

Properties
As for the excess energy over the best structure of this formula in the dataset: 0 meV/atom. Its space group is Pm-3m, No. 221. As for the crystal system: cubic. The calculation puts the energy at -17.2 eV/f.u. The raw formation energy comes out at 0.179 eV per atom.

a = 5.391 Å, b = 5.391 Å, c = 5.391 Å
α = 90.00°, β = 90.00°, γ = 90.00°
Element x y z (fractional)
Li: 0.000 0.000 0.000
Sn: 0.000 0.500 0.500
Sn: 0.500 0.000 0.500
Sn: 0.500 0.500 0.000
S: 0.500 0.500 0.500

[9]
LiSn2S6 | PBE | relaxed

Properties
Its space group is P4_2/mnm, No. 136. As for the crystal system: tetragonal. The calculation puts the energy at -35.1 eV/f.u. The raw formation energy comes out at -0.048 eV per atom.

a = 5.958 Å, b = 5.958 Å, c = 11.484 Å
α = 90.00°, β = 90.00°, γ = 90.00°
Element x y z (fractional)
Li: 0.000 0.000 0.000
Li: 0.500 0.500 0.500
Sn: 0.000 0.000 0.333
Sn: 0.000 0.000 0.667
Sn: 0.500 0.500 0.167
Sn: 0.500 0.500 0.833
S: 0.194 0.194 0.161
S: 0.194 0.194 0.839
S: 0.202 0.202 0.500
S: 0.298 0.702 0.000
S: 0.306 0.694 0.339
S: 0.306 0.694 0.661
S: 0.694 0.306 0.339
S: 0.694 0.306 0.661
S: 0.702 0.298 0.000
S: 0.798 0.798 0.500
S: 0.806 0.806 0.161
S: 0.806 0.806 0.839

[10]
Li2SnS3 | PBE | relaxed

Properties
As for the excess energy over the best structure of this formula in the dataset: 4 meV/atom. Its space group is Imm2, No. 44. As for the crystal system: orthorhombic. The calculation puts the energy at -25.6 eV/f.u. The raw formation energy comes out at -0.897 eV per atom.

a = 6.952 Å, b = 6.952 Å, c = 6.952 Å
α = 147.01°, β = 59.93°, γ = 131.48°
Element x y z (fractional)
Li: 0.171 0.000 0.171
Li: 0.829 0.000 0.829
Sn: 0.464 0.964 0.500
S: 0.077 0.744 0.333
S: 0.410 0.744 0.667
S: 0.738 0.738 0.000

[11]
Li2Sn4S9 | PBE | relaxed

Properties
Its space group is C2/c, No. 15. As for the crystal system: monoclinic. The calculation puts the energy at -64.7 eV/f.u. The raw formation energy comes out at -0.512 eV per atom.

a = 6.488 Å, b = 6.488 Å, c = 17.627 Å
α = 90.00°, β = 90.00°, γ = 60.00°
Element x y z (fractional)
Li: 0.000 0.001 0.349
Li: 0.000 0.999 0.651
Li: 0.001 0.000 0.849
Li: 0.999 0.000 0.151
Sn: 0.333 0.334 0.188
Sn: 0.333 0.334 0.481
Sn: 0.334 0.333 0.688
Sn: 0.334 0.333 0.981
Sn: 0.666 0.667 0.019
Sn: 0.666 0.667 0.312
Sn: 0.667 0.666 0.519
Sn: 0.667 0.666 0.812
S: 0.001 0.698 0.750
S: 0.036 0.325 0.582
S: 0.036 0.639 0.082
S: 0.301 0.699 0.250
S: 0.302 0.999 0.750
S: 0.325 0.036 0.082
S: 0.325 0.638 0.582
S: 0.361 0.964 0.418
S: 0.362 0.675 0.918
S: 0.638 0.325 0.082
S: 0.639 0.036 0.582
S: 0.675 0.362 0.418
S: 0.675 0.964 0.918
S: 0.698 0.001 0.250
S: 0.699 0.301 0.750
S: 0.964 0.361 0.918
S: 0.964 0.675 0.418
S: 0.999 0.302 0.250

[12]
LiSn2S3 | PBE | relaxed

Properties
As for the excess energy over the best structure of this formula in the dataset: 25 meV/atom. Its space group is I4/mmm, No. 139. As for the crystal system: tetragonal. The calculation puts the energy at -25.9 eV/f.u. The raw formation energy comes out at -0.602 eV per atom.

a = 8.914 Å, b = 8.914 Å, c = 8.914 Å
α = 154.50°, β = 154.50°, γ = 36.37°
Element x y z (fractional)
Li: 0.000 0.000 0.000
Sn: 0.346 0.346 0.000
Sn: 0.654 0.654 0.000
S: 0.167 0.167 0.000
S: 0.500 0.500 0.000
S: 0.833 0.833 0.000

[13]
Li2SnS3 | PBE | relaxed

Properties
As for the excess energy over the best structure of this formula in the dataset: 16 meV/atom. Its space group is C2/c, No. 15. As for the crystal system: monoclinic. The calculation puts the energy at -25.5 eV/f.u. The raw formation energy comes out at -0.884 eV per atom.

a = 6.457 Å, b = 6.457 Å, c = 12.499 Å
α = 94.91°, β = 94.91°, γ = 120.02°
Element x y z (fractional)
Li: 0.000 0.500 0.500
Li: 0.083 0.917 0.750
Li: 0.173 0.344 0.000
Li: 0.344 0.173 0.500
Li: 0.500 0.000 0.000
Li: 0.656 0.827 0.500
Li: 0.827 0.656 0.000
Li: 0.917 0.083 0.250
Sn: 0.250 0.750 0.250
Sn: 0.417 0.583 0.750
Sn: 0.583 0.417 0.250
Sn: 0.750 0.250 0.750
S: 0.043 0.226 0.628
S: 0.123 0.608 0.870
S: 0.226 0.043 0.128
S: 0.304 0.470 0.370
S: 0.392 0.877 0.630
S: 0.470 0.304 0.870
S: 0.530 0.696 0.130
S: 0.608 0.123 0.370
S: 0.696 0.530 0.630
S: 0.774 0.957 0.872
S: 0.877 0.392 0.130
S: 0.957 0.774 0.372

[14]
LiSnS3 | PBE | relaxed

Properties
As for the excess energy over the best structure of this formula in the dataset: 522 meV/atom. Its space group is Pm-3m, No. 221. As for the crystal system: cubic. The calculation puts the energy at -18.4 eV/f.u. The raw formation energy comes out at -0.014 eV per atom.

a = 5.023 Å, b = 5.023 Å, c = 5.023 Å
α = 90.00°, β = 90.00°, γ = 90.00°
Element x y z (fractional)
Li: 0.000 0.000 0.000
Sn: 0.500 0.500 0.500
S: 0.000 0.500 0.500
S: 0.500 0.000 0.500
S: 0.500 0.500 0.000

[15]
LiSn4S5 | PBE | relaxed

Properties
Its space group is I4, No. 79. As for the crystal system: tetragonal. The calculation puts the energy at -43.9 eV/f.u. The raw formation energy comes out at -0.535 eV per atom.

a = 6.974 Å, b = 6.974 Å, c = 6.974 Å
α = 99.49°, β = 99.49°, γ = 132.09°
Element x y z (fractional)
Li: 0.000 0.000 0.000
Sn: 0.202 0.596 0.803
Sn: 0.399 0.202 0.606
Sn: 0.596 0.793 0.394
Sn: 0.793 0.399 0.197
S: 0.093 0.294 0.393
S: 0.294 0.901 0.201
S: 0.496 0.496 0.000
S: 0.700 0.093 0.799
S: 0.901 0.700 0.607

[16]
Li3SnS | PBE | relaxed

Properties
As for the excess energy over the best structure of this formula in the dataset: 843 meV/atom. Its space group is Pm-3m, No. 221. As for the crystal system: cubic. The calculation puts the energy at -12.6 eV/f.u. The raw formation energy comes out at 0.257 eV per atom.

a = 5.148 Å, b = 5.148 Å, c = 5.148 Å
α = 90.00°, β = 90.00°, γ = 90.00°
Element x y z (fractional)
Li: 0.000 0.000 0.500
Li: 0.000 0.500 0.000
Li: 0.500 0.000 0.000
Sn: 0.000 0.000 0.000
S: 0.500 0.500 0.500

[17]
Sr2LiSnS4 | PBE | relaxed

Properties
Its space group is P2/m, No. 10. As for the crystal system: monoclinic. The calculation puts the energy at -36.5 eV/f.u. The raw formation energy comes out at -1.338 eV per atom.

a = 6.963 Å, b = 4.154 Å, c = 7.052 Å
α = 90.00°, β = 108.40°, γ = 90.00°
Element x y z (fractional)
Sr: 0.000 0.000 0.000
Sr: 0.000 0.500 0.500
Li: 0.500 0.000 0.500
Sn: 0.500 0.500 0.000
S: 0.271 0.500 0.248
S: 0.274 0.000 0.754
S: 0.726 0.000 0.246
S: 0.729 0.500 0.752